No. 1
A plane-wave DFT calculation with GGA-PBE was carried out for a geometry-optimized Sm4Ho5Tm3 structure.

Cell: 5.874 8.530 9.610 Å, 105.63 72.21 69.86°
Fractional coordinates of all 12 atoms:
Sm  0.862  0.222  0.055
Sm  0.165  0.051  0.619
Sm  0.835  0.949  0.381
Sm  0.138  0.778  0.945
Ho  0.632  0.940  0.797
Ho  0.500  0.500  0.500
Ho  0.212  0.460  0.116
Ho  0.788  0.540  0.884
Ho  0.368  0.060  0.203
Tm  0.524  0.688  0.264
Tm  0.000  0.500  0.500
Tm  0.476  0.312  0.736

No. 2
A plane-wave DFT calculation with GGA-PBE was carried out for a geometry-optimized Tb4Pr2SmTm2 structure.

Cell: 6.854 9.931 6.638 Å, 121.19 126.87 59.37°
Fractional coordinates of all 9 atoms:
Tb  0.738  0.884  0.200
Tb  0.620  0.760  0.508
Tb  0.262  0.116  0.800
Tb  0.380  0.240  0.492
Pr  0.269  0.657  0.600
Pr  0.731  0.343  0.400
Sm  0.000  0.000  0.000
Tm  0.821  0.446  0.036
Tm  0.179  0.554  0.964

Number 1: formation enthalpy at 0 K 0.24 eV/atom. Number 2: formation enthalpy at 0 K 0.08 eV/atom.